This record from Alexandria via LeMat-Bulk describes a geometry-optimized NpVBiO6 structure. The functional is GGA+U.

Cell: 5.4131 5.4131 10.0409 Å, 90.00 90.00 120.00°
Last column: nearest neighbours and their distance in Å.
Fractional positions:
Np (0.3333, 0.6667, 0.2500)  6 O 2.10
Np (0.6667, 0.3333, 0.7500)  6 O 2.10
V (0.3333, 0.6667, 0.7500)  6 O 2.02
V (0.6667, 0.3333, 0.2500)  6 O 2.02
Bi (0.0000, 0.0000, 0.0000)  6 O 2.40
Bi (0.0000, 0.0000, 0.5000)  6 O 2.40
O (0.0102, 0.3629, 0.6405)  1 V 2.02, 1 Np 2.10
O (0.0102, 0.6473, 0.8595)  1 V 2.02, 1 Np 2.10
O (0.3527, 0.3629, 0.8595)  1 V 2.02, 1 Np 2.10
O (0.3527, 0.9898, 0.6405)  1 V 2.02, 1 Np 2.10
O (0.3629, 0.0102, 0.1405)  1 V 2.02, 1 Np 2.10
O (0.3629, 0.3527, 0.3595)  1 V 2.02, 1 Np 2.10
O (0.6371, 0.6473, 0.6405)  1 V 2.02, 1 Np 2.10
O (0.6371, 0.9898, 0.8595)  1 V 2.02, 1 Np 2.10
O (0.6473, 0.0102, 0.3595)  1 V 2.02, 1 Np 2.10
O (0.6473, 0.6371, 0.1405)  1 V 2.02, 1 Np 2.10
O (0.9898, 0.3527, 0.1405)  1 V 2.02, 1 Np 2.10
O (0.9898, 0.6371, 0.3595)  1 V 2.02, 1 Np 2.10

Properties
The calculation puts the uncorrected energy at -146.4 eV for the cell shown. As for the calculated density: 7.73 g/cm3.